1.
Entry from the Alexandria database: an optimized crystal structure of Dy2Er2Bi3 (PBE).

Cell lengths 4.407, 7.427, 7.462 Å; angles 98.50, 90.02, 107.30 degrees
Positions (direct):
1 Dy 0.884 0.766 0.609
2 Dy 0.116 0.234 0.391
3 Er 0.623 0.245 0.859
4 Er 0.377 0.755 0.141
5 Bi 0.000 0.000 0.000
6 Bi 0.740 0.481 0.248
7 Bi 0.260 0.519 0.752

Calculated total energy (eV per atom): -4.83
Calculated formation energy (eV per atom): -0.55
D(E_F) (states/eV/atom): 0.49

***

2.
Entry from the Alexandria database: an optimized crystal structure of TaCr2As (PBE).

Cell lengths 8.395, 8.395, 8.395 Å; angles 19.75, 19.75, 19.75 degrees
Positions (direct):
1 As 0.742 0.742 0.742
2 Cr 0.994 0.994 0.994
3 Cr 0.262 0.262 0.262
4 Ta 0.502 0.502 0.502

Calculated total energy (eV per atom): -8.64
Calculated formation energy (eV per atom): 0.29
D(E_F) (states/eV/atom): 1.02

***

3.
Entry from the Alexandria database: an optimized crystal structure of LaDyPdPt (PBE).

Cell lengths 5.077, 5.077, 5.077 Å; angles 60.00, 60.00, 60.00 degrees
Positions (direct):
1 La 0.000 0.000 0.000
2 Pd 0.250 0.250 0.250
3 Pt 0.750 0.750 0.750
4 Dy 0.500 0.500 0.500

Calculated total energy (eV per atom): -6.16
Calculated formation energy (eV per atom): -0.96
D(E_F) (states/eV/atom): 0.90

***

4.
Entry from the Alexandria database: an optimized crystal structure of Ac2AgPbO6 (PBE).

Cell lengths 5.937, 5.836, 6.344 Å; angles 117.39, 118.41, 90.00 degrees
Each line ends with the local moment (μB).
Positions (direct):
1 Ac 0.227 0.253 0.505  0.00
2 Ac 0.773 0.747 0.495  0.00
3 Ag 0.500 0.000 0.000  0.20
4 Pb 0.000 0.500 0.000  0.01
5 O 0.333 0.715 0.431  0.03
6 O 0.173 0.168 0.841  0.06
7 O 0.827 0.328 0.159  0.06
8 O 0.173 0.672 0.841  0.06
9 O 0.827 0.832 0.159  0.06
10 O 0.667 0.285 0.569  0.03

Calculated total energy (eV per atom): -6.39
Energy relative to the elements, uncorrected (meV per atom): -1933.3
D(E_F) (states/eV/atom): 0.34

***

5.
Entry from the Alexandria database: an optimized crystal structure of SmDyNO (PBE).

Cell lengths 3.197, 3.197, 6.359 Å; angles 104.56, 104.56, 90.00 degrees
Positions (direct):
1 Sm 0.819 0.319 0.639
2 Dy 0.077 0.077 0.153
3 N 0.663 0.663 0.325
4 O 0.421 0.921 0.842

Calculated total energy (eV per atom): -7.51
Energy relative to the elements, uncorrected (meV per atom): -1857.9
D(E_F) (states/eV/atom): 0.45

***

6.
Entry from the Alexandria database: an optimized crystal structure of InAsP2 (PBE).

Cell lengths 3.080, 3.080, 10.738 Å; angles 90.00, 90.00, 118.47 degrees
Positions (direct):
1 As 0.000 0.000 0.508
2 In 0.500 0.500 0.747
3 P 0.000 0.000 0.052
4 P 0.500 0.500 0.193

Calculated total energy (eV per atom): -4.13
Calculated formation energy (eV per atom): 0.42
D(E_F) (states/eV/atom): 0.36

***

7.
Entry from the Alexandria database: an optimized crystal structure of NaLaCr2Ru (PBE).

Cell lengths 4.780, 4.971, 4.780 Å; angles 90.00, 90.00, 90.00 degrees
Each line ends with the local moment (μB).
Positions (direct):
1 Ru 0.000 0.500 0.000  -0.02
2 Na 0.000 0.000 0.000  -0.06
3 Cr 0.000 0.000 0.500  -3.96
4 Cr 0.500 0.000 0.000  -3.85
5 La 0.500 0.500 0.500  -0.10

Calculated total energy (eV per atom): -5.59
Calculated formation energy (eV per atom): 1.37
D(E_F) (states/eV/atom): 0.96

***

8.
Entry from the Alexandria database: an optimized crystal structure of Ba2Li3RuF12 (PBE).

Cell lengths 7.089, 7.089, 7.089 Å; angles 64.65, 64.65, 64.65 degrees
Each line ends with the local moment (μB).
Positions (direct):
1 Ba 0.649 0.649 0.649  0.00
2 Ba 0.351 0.351 0.351  0.00
3 Li 0.500 0.000 0.000  0.00
4 Li 0.000 0.500 0.000  0.00
5 Li 0.000 0.000 0.500  0.00
6 Ru 0.000 0.000 0.000  1.95
7 F 0.375 0.375 0.948  0.06
8 F 0.944 0.944 0.300  0.12
9 F 0.300 0.944 0.944  0.12
10 F 0.948 0.375 0.375  0.06
11 F 0.944 0.300 0.944  0.12
12 F 0.375 0.948 0.375  0.06
13 F 0.625 0.625 0.052  0.06
14 F 0.056 0.056 0.700  0.12
15 F 0.700 0.056 0.056  0.12
16 F 0.052 0.625 0.625  0.06
17 F 0.056 0.700 0.056  0.12
18 F 0.625 0.052 0.625  0.06

Calculated total energy (eV per atom): -4.99
Energy relative to the elements, uncorrected (meV per atom): -2691.1

***

9.
Entry from the Alexandria database: an optimized crystal structure of BaLiTe (PBE).

Cell lengths 5.608, 5.608, 5.608 Å; angles 60.00, 60.00, 60.00 degrees
Positions (direct):
1 Ba 0.750 0.750 0.750
2 Li 0.000 0.000 0.000
3 Te 0.500 0.500 0.500

Calculated total energy (eV per atom): -2.93
Energy relative to the elements, uncorrected (meV per atom): -607.2
D(E_F) (states/eV/atom): 0.58

***

10.
Entry from the Alexandria database: an optimized crystal structure of ThZrBiAu (PBE).

Cell lengths 5.250, 5.250, 5.250 Å; angles 60.00, 60.00, 60.00 degrees
Each line ends with the local moment (μB).
Positions (direct):
1 Zr 0.250 0.250 0.250  0.29
2 Au 0.000 0.000 0.000  0.00
3 Bi 0.500 0.500 0.500  0.00
4 Th 0.750 0.750 0.750  0.07

Calculated total energy (eV per atom): -6.10
Calculated formation energy (eV per atom): -0.31
D(E_F) (states/eV/atom): 1.25

***

11.
Entry from the Alexandria database: an optimized crystal structure of Pr6Dy5Th (PBE).

Cell lengths 5.159, 10.241, 9.605 Å; angles 122.23, 105.58, 89.98 degrees
Positions (direct):
1 Pr 0.835 0.585 0.671
2 Pr 0.835 0.085 0.671
3 Pr 0.500 0.752 0.000
4 Pr 0.500 0.248 0.000
5 Pr 0.165 0.915 0.329
6 Pr 0.165 0.415 0.329
7 Th 0.000 0.000 0.000
8 Dy 0.664 0.164 0.327
9 Dy 0.332 0.332 0.664
10 Dy 0.000 0.500 0.000
11 Dy 0.668 0.668 0.336
12 Dy 0.336 0.836 0.673

Calculated total energy (eV per atom): -4.89
Calculated formation energy (eV per atom): 0.03
D(E_F) (states/eV/atom): 1.46

***

12.
Entry from the Alexandria database: an optimized crystal structure of NaAgAsS4 (PBE).

Cell lengths 7.078, 7.078, 7.671 Å; angles 90.00, 90.00, 115.80 degrees
Each line ends with the local moment (μB).
Positions (direct):
1 Na 0.500 0.500 0.500  0.00
2 Na 0.500 0.500 0.000  0.00
3 Ag 0.865 0.135 0.250  0.06
4 Ag 0.135 0.865 0.750  0.06
5 As 0.150 0.850 0.250  0.00
6 As 0.850 0.150 0.750  0.00
7 S 0.192 0.247 0.750  0.06
8 S 0.753 0.808 0.750  0.06
9 S 0.744 0.256 0.983  0.05
10 S 0.744 0.256 0.517  0.05
11 S 0.256 0.744 0.017  0.05
12 S 0.256 0.744 0.483  0.05
13 S 0.808 0.753 0.250  0.06
14 S 0.247 0.192 0.250  0.06

Calculated total energy (eV per atom): -3.78
Energy relative to the elements, uncorrected (meV per atom): -161.9
D(E_F) (states/eV/atom): 1.08

***

Look up the calculated total energy of the first one.
-4.83 eV per atom

***

calculated total energy of number 6 (InAsP2)?
-4.13 eV per atom